Material: BaReS2N
Method: DFT, GGA-PBEsol
State: optimized geometry

Geometry as POSCAR:
```
BaReS2N
1.0
-1.0184 3.0451 2.1288
-0.7815 -2.9389 3.8300
4.6513 0.5806 1.3946
S Ba Re N
2 1 1 1
direct
0.0000 0.5000 0.0000 S
0.0000 0.0000 0.5000 S
0.5000 0.5000 0.5000 Ba
0.0000 0.0000 0.0000 Re
0.5000 0.0000 0.0000 N
```

## Properties
The value obtained for the uncorrected formation energy is -3.79 eV per formula unit. The density of states at the Fermi level comes out at 3.5 states/eV per cell. The space-group type is P4/mmm, No. 123. As for the theoretical density: 7.24 g cm⁻³. The uncorrected energy is -7.3135 eV per atom.

---

Material: BaReTe2N
Method: DFT, GGA-PBEsol
State: optimized geometry

Geometry as POSCAR:
```
BaReTe2N
1.0
-3.3040 0.1790 -2.8662
0.2568 -6.2339 -0.6853
-4.1097 -0.6854 4.6945
Te N Re Ba
2 1 1 1
direct
0.0000 0.5000 0.0000 Te
0.0000 0.0000 0.5000 Te
0.5000 0.0000 0.0000 N
0.5000 0.5000 0.5000 Re
0.0000 0.0000 0.0000 Ba
```

## Properties
The value obtained for the uncorrected formation energy is 10.77 eV per formula unit. The density of states at the Fermi level comes out at 4.9 states/eV per cell. The space-group type is P4/mmm, No. 123. As for the theoretical density: 5.71 g cm⁻³. The uncorrected energy is -4.0581 eV per atom.

---

Material: BaRh3N
Method: DFT, GGA-PBEsol
State: optimized geometry

Geometry as POSCAR:
```
BaRh3N
1.0
5.0177 0.0000 0.0000
0.0000 5.0177 0.0000
0.0000 0.0000 5.0177
N Rh Ba
1 3 1
direct
0.5000 0.5000 0.5000 N
0.5000 0.0000 0.0000 Rh
0.0000 0.5000 0.0000 Rh
0.0000 0.0000 0.5000 Rh
0.0000 0.0000 0.0000 Ba
```

## Properties
The value obtained for the uncorrected formation energy is 15.48 eV per formula unit. The density of states at the Fermi level comes out at 7.7 states/eV per cell. The space-group type is Pm-3m, No. 221. As for the theoretical density: 6.05 g cm⁻³. The uncorrected energy is -3.9218 eV per atom.

---

Material: BaRhN2
Method: DFT, GGA-PBEsol
State: optimized geometry

Geometry as POSCAR:
```
BaRhN2
1.0
-0.3223 4.1911 -0.8508
0.1009 1.3779 -4.0601
-3.5569 1.5498 -1.8275
N Rh Ba
2 1 1
direct
0.7500 0.7500 0.7500 N
0.2500 0.2500 0.2500 N
0.0000 0.0000 0.0000 Rh
0.5000 0.5000 0.5000 Ba
```

## Properties
The value obtained for the uncorrected formation energy is 4.10 eV per formula unit. The density of states at the Fermi level comes out at 2.5 states/eV per cell. The space-group type is Fm-3m, No. 225. As for the theoretical density: 7.99 g cm⁻³. The uncorrected energy is -5.8101 eV per atom.

---

Material: Ba4RuN4
Method: DFT, GGA-PBEsol
State: optimized geometry

Geometry as POSCAR:
```
Ba4RuN4
1.0
-5.5466 3.7671 1.9152
-4.8807 -3.3548 3.5700
2.3202 0.8903 8.7478
N Ba Ru
8 8 2
direct
0.0250 0.1775 0.1178 N
0.4339 0.8473 0.3353 N
0.3578 0.3373 0.1564 N
0.5661 0.1527 0.6647 N
0.6422 0.6627 0.8436 N
0.0301 0.2731 0.3933 N
0.9699 0.7269 0.6067 N
0.9750 0.8225 0.8822 N
0.2677 0.4787 0.4405 Ba
0.7148 0.2175 0.9559 Ba
0.8082 0.6166 0.1319 Ba
0.2303 0.9306 0.6335 Ba
0.1918 0.3834 0.8681 Ba
0.2852 0.7825 0.0441 Ba
0.7697 0.0694 0.3665 Ba
0.7323 0.5213 0.5595 Ba
0.2476 0.1346 0.2518 Ru
0.7524 0.8654 0.7482 Ru
```

## Properties
The value obtained for the uncorrected formation energy is -4.03 eV per formula unit. The density of states at the Fermi level comes out at 11.8 states/eV per cell. The space-group type is P-1, No. 2. As for the theoretical density: 6.19 g cm⁻³. The uncorrected energy is -6.3223 eV per atom.

---

Material: Ba2RuN3
Method: DFT, GGA-PBEsol
State: optimized geometry

Geometry as POSCAR:
```
Ba2RuN3
1.0
5.8891 0.0000 0.0000
-2.9446 5.8676 0.0000
0.0000 0.0000 12.9576
Ba N Ru
8 12 4
direct
0.3598 0.7197 0.4186 Ba
0.1402 0.2803 0.9186 Ba
0.0636 0.1271 0.3627 Ba
0.9364 0.8729 0.6373 Ba
0.6402 0.2803 0.5814 Ba
0.8598 0.7197 0.0814 Ba
0.5636 0.1271 0.1373 Ba
0.4364 0.8729 0.8627 Ba
0.8388 0.6775 0.4483 N
0.4891 0.4782 0.7500 N
0.0842 0.1684 0.1283 N
0.3388 0.6775 0.0517 N
0.4158 0.8316 0.6283 N
0.9158 0.8316 0.8717 N
0.9891 0.4782 0.7500 N
0.5842 0.1684 0.3717 N
0.5109 0.5218 0.2500 N
0.0109 0.5218 0.2500 N
0.6612 0.3225 0.9483 N
0.1612 0.3225 0.5517 N
0.7388 0.4775 0.3364 Ru
0.7612 0.5225 0.8364 Ru
0.2388 0.4775 0.1636 Ru
0.2612 0.5225 0.6636 Ru
```

## Properties
The value obtained for the uncorrected formation energy is -2.84 eV per formula unit. The density of states at the Fermi level comes out at 18.3 states/eV per cell. The space-group type is Cmce, No. 64. As for the theoretical density: 6.20 g cm⁻³. The uncorrected energy is -7.1483 eV per atom.

---

Material: Ba2RuN2
Method: DFT, GGA-PBEsol
State: optimized geometry

Geometry as POSCAR:
```
Ba2RuN2
1.0
-3.7092 -1.0145 1.5036
0.9865 -4.0006 -0.2655
3.7595 2.6978 5.4253
N Ba Ru
2 2 1
direct
0.3616 0.3616 0.7232 N
0.6384 0.6384 0.2768 N
0.1385 0.1385 0.2771 Ba
0.8615 0.8615 0.7229 Ba
0.5000 0.5000 0.0000 Ru
```

## Properties
The value obtained for the uncorrected formation energy is -2.14 eV per formula unit. The density of states at the Fermi level comes out at 0.4 states/eV per cell. The space-group type is I4/mmm, No. 139. As for the theoretical density: 6.04 g cm⁻³. The uncorrected energy is -6.7319 eV per atom.

---

Material: BaRuS2N
Method: DFT, GGA-PBEsol
State: optimized geometry

Geometry as POSCAR:
```
BaRuS2N
1.0
3.7339 0.0000 0.0000
0.0000 4.9768 0.0000
0.0000 0.0000 4.9768
N S Ba Ru
1 2 1 1
direct
0.5000 0.0000 0.0000 N
0.0000 0.5000 0.0000 S
0.0000 0.0000 0.5000 S
0.5000 0.5000 0.5000 Ba
0.0000 0.0000 0.0000 Ru
```

## Properties
The value obtained for the uncorrected formation energy is -3.09 eV per formula unit. The density of states at the Fermi level comes out at 4.4 states/eV per cell. The space-group type is P4/mmm, No. 123. As for the theoretical density: 5.68 g cm⁻³. The uncorrected energy is -6.5415 eV per atom.